Material: HoMgFe2O6
Method: DFT, PBE+U
State: relaxed

Cell: 7.5684 5.4727 5.1896 Å, 90.00 90.00 90.00°
Closest atoms and distances in Å follow each position.
Space group Pmn2_1 (No. 31)
Unique sites:
Ho  0.0000  0.1799  0.0000 x2  6 O 2.23-2.47
Mg  0.0000  0.6867  0.4631 x2  4 O 2.08-2.19
Fe  0.2489  0.7432  0.9829 x4  6 O 1.95-2.05
O  0.0000  0.3052  0.5918 x2  2 Fe 2.00, 1 Mg 2.19, 1 Ho 2.23
O  0.0000  0.7876  0.8500 x2  2 Fe 2.02, 1 Mg 2.08
O  0.1869  0.4496  0.1818 x4  2 Fe 1.95-1.97
O  0.1884  0.9385  0.2940 x4  2 Fe 1.99-2.05, 1 Mg 2.17

## Properties
* size of the total moment: 9.00 μB per formula unit
* electronic total energy: -6.83 eV per atom